Entry 1:
{
  "formula": "Nd2In2Pt15",
  "functional": "GGA-PBE",
  "state": "relaxed",
  "sg": "R-3m",
  "final_energy_ev_per_atom": -6.061,
  "delta_e_f_mev_per_atom": -502,
  "magnetic_moment_mub_per_atom": 0.0000,
  "lattice_angstrom": [[4.705, 2.717, 4.513], [-4.705, 2.717, 4.513], [0.000, -5.433, 4.513]],
  "species": ["Nd", "Nd", "In", "In", "Pt", "Pt", "Pt", "Pt", "Pt", "Pt", "Pt", "Pt", "Pt", "Pt", "Pt", "Pt", "Pt", "Pt", "Pt"],
  "frac_coords": [[0.146, 0.146, 0.146], [0.854, 0.854, 0.854], [0.395, 0.395, 0.395], [0.605, 0.605, 0.605], [0.000, 0.500, 0.500], [0.158, 0.158, 0.664], [0.158, 0.664, 0.158], [0.180, 0.500, 0.820], [0.180, 0.820, 0.500], [0.336, 0.842, 0.842], [0.500, 0.000, 0.500], [0.500, 0.180, 0.820], [0.500, 0.500, 0.000], [0.500, 0.820, 0.180], [0.664, 0.158, 0.158], [0.820, 0.180, 0.500], [0.820, 0.500, 0.180], [0.842, 0.336, 0.842], [0.842, 0.842, 0.336]]
}



Entry 2:
{
  "formula": "ScAl2Re2",
  "functional": "GGA-PBE",
  "state": "relaxed",
  "sg": "P4/mbm",
  "final_energy_ev_per_atom": -7.901,
  "delta_e_f_mev_per_atom": -159,
  "magnetic_moment_mub_per_atom": 0.0000,
  "lattice_angstrom": [[6.999, 0.000, 0.000], [0.000, 6.999, 0.000], [0.000, 0.000, 3.228]],
  "species": ["Sc", "Sc", "Al", "Al", "Al", "Al", "Re", "Re", "Re", "Re"],
  "frac_coords": [[0.000, 0.000, 0.000], [0.500, 0.500, 0.000], [0.130, 0.370, 0.000], [0.370, 0.870, 0.000], [0.630, 0.130, 0.000], [0.870, 0.630, 0.000], [0.163, 0.663, 0.500], [0.337, 0.163, 0.500], [0.663, 0.837, 0.500], [0.837, 0.337, 0.500]]
}



no.,density of states at the Fermi level (states/eV per cell)
1,14.9
2,13.8